Entry 1:
This record from Alexandria describes LaRhPb2 after structural relaxation. The functional is PBE-GGA.

Computed properties:
Formation enthalpy at 0 K (eV per formula unit): -1.776

Unit cell a=5.596 b=8.487 c=4.663 alpha=90.00 beta=90.00 gamma=90.00
Space group Cmmm (No. 65)
Symmetry-distinct sites (fractional):
La 0.000 0.000 0.000 (multiplicity 2)
Rh 0.000 0.500 0.000 (multiplicity 2)
Pb 0.000 0.317 0.500 (multiplicity 4)


Entry 2:
This record from Alexandria describes Ba3Sr3Li2Ca after structural relaxation. The functional is PBE-GGA.

Computed properties:
Formation enthalpy at 0 K (eV per formula unit): 0.813

Unit cell a=11.0599 b=11.0599 c=4.2887 alpha=90.00 beta=90.00 gamma=120.00
Space group P-62m (No. 189)
Symmetry-distinct sites (fractional):
Ba 0.0000 0.6966 0.0000 (multiplicity 3)
Sr 0.0000 0.3698 0.5000 (multiplicity 3)
Li 0.3333 0.6667 0.0000 (multiplicity 2)
Ca 0.0000 0.0000 0.5000 (multiplicity 1)


Repeat the second record exactly.
This record from Alexandria describes Ba3Sr3Li2Ca after structural relaxation. The functional is PBE-GGA.

Computed properties:
Formation enthalpy at 0 K (eV per formula unit): 0.813

Unit cell a=11.0599 b=11.0599 c=4.2887 alpha=90.00 beta=90.00 gamma=120.00
Space group P-62m (No. 189)
Symmetry-distinct sites (fractional):
Ba 0.0000 0.6966 0.0000 (multiplicity 3)
Sr 0.0000 0.3698 0.5000 (multiplicity 3)
Li 0.3333 0.6667 0.0000 (multiplicity 2)
Ca 0.0000 0.0000 0.5000 (multiplicity 1)


Please write out number 1 again, unchanged.
This record from Alexandria describes LaRhPb2 after structural relaxation. The functional is PBE-GGA.

Computed properties:
Formation enthalpy at 0 K (eV per formula unit): -1.776

Unit cell a=5.596 b=8.487 c=4.663 alpha=90.00 beta=90.00 gamma=90.00
Space group Cmmm (No. 65)
Symmetry-distinct sites (fractional):
La 0.000 0.000 0.000 (multiplicity 2)
Rh 0.000 0.500 0.000 (multiplicity 2)
Pb 0.000 0.317 0.500 (multiplicity 4)


Please write out number 1 again, unchanged.
This record from Alexandria describes LaRhPb2 after structural relaxation. The functional is PBE-GGA.

Computed properties:
Formation enthalpy at 0 K (eV per formula unit): -1.776

Unit cell a=5.596 b=8.487 c=4.663 alpha=90.00 beta=90.00 gamma=90.00
Space group Cmmm (No. 65)
Symmetry-distinct sites (fractional):
La 0.000 0.000 0.000 (multiplicity 2)
Rh 0.000 0.500 0.000 (multiplicity 2)
Pb 0.000 0.317 0.500 (multiplicity 4)


> Which value of formation enthalpy at 0 K does entry 1 give?

-1.776 eV per formula unit